MnTcPt2C | PBE-GGA | relaxed

Space-group type   P4/mmm (123)
D(E_F)   1.206 states/eV/atom
Magnetic moment   1.65 Bohr magnetons per cell

```
MnTcPt2C
1.0
4.8143 0.0000 0.0000
0.0000 4.8143 0.0000
0.0000 0.0000 4.4885
Mn Tc Pt C
1 1 2 1
direct
0.0000 0.0000 0.0000
0.0000 0.0000 0.5000
0.0000 0.5000 0.5000
0.5000 0.0000 0.5000
0.5000 0.5000 0.0000
```

---

Ag6AuS3 | PBE-GGA | relaxed

Space-group type   Cmc2_1 (36)
D(E_F)   0.604 states/eV/atom
Magnetic moment   0.00 Bohr magnetons per cell

```
Ag6AuS3
1.0
5.5435 -5.8554 0.0000
5.5435 5.8554 0.0000
0.0000 0.0000 6.2888
Ag Au S
12 2 6
direct
0.0161 0.5165 0.7321
0.0326 0.9674 0.5000
0.2456 0.7544 0.2086
0.3308 0.4098 0.2804
0.4098 0.3308 0.7804
0.4835 0.9839 0.7321
0.5165 0.0161 0.2321
0.5902 0.6692 0.2804
0.6692 0.5902 0.7804
0.7544 0.2456 0.7086
0.9674 0.0326 0.0000
0.9839 0.4835 0.2321
0.3472 0.6528 0.6033
0.6528 0.3472 0.1033
0.1271 0.3103 0.9692
0.1777 0.8223 0.8429
0.3103 0.1271 0.4692
0.6897 0.8729 0.9692
0.8223 0.1777 0.3429
0.8729 0.6897 0.4692
```

---

MgCu6Pd12 | PBE-GGA | relaxed

Energy relative to the lowest polymorph listed for this composition   142.8 meV/atom
Space-group type   R-3 (148)
D(E_F)   1.301 states/eV/atom
Magnetic moment   0.00 Bohr magnetons per cell

```
MgCu6Pd12
1.0
5.6733 3.2755 2.6444
-5.6733 3.2755 2.6444
0.0000 -6.5509 2.6444
Mg Cu Pd
1 6 12
direct
0.0000 0.0000 0.0000
0.2472 0.6476 0.3624
0.3524 0.6376 0.7528
0.3624 0.2472 0.6476
0.6376 0.7528 0.3524
0.6476 0.3624 0.2472
0.7528 0.3524 0.6376
0.0310 0.8948 0.3295
0.0347 0.3166 0.4232
0.1052 0.6705 0.9690
0.3166 0.4232 0.0347
0.3295 0.0310 0.8948
0.4232 0.0347 0.3166
0.5768 0.9653 0.6834
0.6705 0.9690 0.1052
0.6834 0.5768 0.9653
0.8948 0.3295 0.0310
0.9653 0.6834 0.5768
0.9690 0.1052 0.6705
```

---

Pm2Pr3Th2 | PBE-GGA | relaxed

Space-group type   C2/m (12)
D(E_F)   1.493 states/eV/atom
Magnetic moment   0.00 Bohr magnetons per cell

```
Pm2Pr3Th2
1.0
5.8004 -2.5683 0.0000
5.8004 2.5683 0.0000
-1.1424 0.0000 8.1265
Pm Pr Th
2 3 2
direct
0.0757 0.0757 0.2235
0.9243 0.9243 0.7765
0.3536 0.3536 0.0744
0.5000 0.5000 0.5000
0.6464 0.6464 0.9256
0.2169 0.2169 0.6357
0.7831 0.7831 0.3643
```

---

LaTeP | PBE-GGA | relaxed

Space-group type   P1 (1)
Magnetic moment   0.00 Bohr magnetons per cell

```
LaTeP
1.0
4.2458 0.0000 0.0000
0.9898 5.8355 0.0000
0.1755 1.8058 8.1485
La Te P
2 2 2
direct
0.0000 0.0000 0.0000
0.0574 0.6969 0.5928
0.5159 0.8962 0.2941
0.6819 0.2552 0.6122
0.4484 0.3687 0.8751
0.5336 0.7345 0.8358
```

---

Cs2Y2PbO6 | PBE-GGA | relaxed

Space-group type   C2/m (12)
D(E_F)   0.000 states/eV/atom
Magnetic moment   0.00 Bohr magnetons per cell

```
Cs2Y2PbO6
1.0
3.0245 -5.2365 0.0000
3.0245 5.2365 0.0000
-1.9663 0.0000 7.0496
Cs Y Pb O
2 2 1 6
direct
0.1663 0.8337 0.0000
0.8337 0.1663 0.0000
0.3343 0.6657 0.5000
0.6657 0.3343 0.5000
0.0000 0.0000 0.5000
0.0481 0.3799 0.6595
0.2692 0.2692 0.3414
0.3799 0.0481 0.6595
0.6201 0.9519 0.3405
0.7308 0.7308 0.6586
0.9519 0.6201 0.3405
```

---

| no. | calculated total energy (eV/atom) |
| --- | --- |
| 1 | -5.726 |
| 2 | -3.226 |
| 3 | -4.674 |
| 4 | -5.466 |
| 5 | -5.590 |
| 6 | -6.565 |